A.
Material: PuAl3Ga
Method: DFT, PBE
State: relaxed

The value obtained for the calculated density is 6.71 g/cm3. Its magnetization is 1.176 μB/atom.

It has space group I4mm (No. 107), with a = 4.199 Å, b = 4.199 Å, c = 11.085 Å, α = 90.00°, β = 90.00° and γ = 90.00°. The inequivalent atoms are Pu at (0.000, 0.000, 0.000), Al at (0.000, 0.000, 0.611), Al at (0.000, 0.500, 0.252) and Ga at (0.000, 0.000, 0.390).

=====

B.
Material: PuAl3Ga
Method: DFT, PBE
State: relaxed

The value obtained for the calculated density is 6.74 g/cm3. Its magnetization is 1.135 μB/atom.

It has space group Cmcm (No. 63), with a = 4.543 Å, b = 15.116 Å, c = 5.660 Å, α = 90.00°, β = 90.00° and γ = 90.00°. The inequivalent atoms are Pu at (0.000, 0.086, 0.250), Al at (0.000, 0.141, 0.750), Al at (0.000, 0.298, 0.506) and Ga at (0.000, 0.455, 0.250).

=====

Stability check: which of them is least stable? B.

=====

A.
Material: Pu2Al3Ga
Method: DFT, PBE
State: relaxed

The value obtained for the calculated density is 8.95 g/cm3. Its magnetization is 1.858 μB/atom.

It has space group C2/m (No. 12), with a = 9.551 Å, b = 5.504 Å, c = 5.524 Å, α = 90.00°, β = 125.27° and γ = 90.00°. The inequivalent atoms are Pu at (0.125, 0.000, 0.373), Al at (0.000, 0.500, 0.000), Al at (0.250, 0.250, 0.000) and Ga at (0.000, 0.500, 0.500).

=====

B.
Material: Pu2Al3Ga
Method: DFT, PBE
State: relaxed

The value obtained for the calculated density is 8.92 g/cm3. Its magnetization is 1.862 μB/atom.

It has space group P6_3/mmc (No. 194), with a = 5.5747 Å, b = 5.5747 Å, c = 8.8323 Å, α = 90.00°, β = 90.00° and γ = 120.00°. The inequivalent atoms are Pu at (0.3333, 0.6667, 0.0733), Al at (0.1724, 0.3448, 0.7500) and Ga at (0.0000, 0.0000, 0.0000).

=====

Stability check: which of them is least stable? B.

=====

A.
Material: RbAl3Ga
Method: DFT, PBE
State: relaxed

The value obtained for the calculated density is 1.82 g/cm3. Its magnetization is 0.000 μB/atom.

It has space group Pm-3m (No. 221), with a = 5.995 Å, b = 5.995 Å, c = 5.995 Å, α = 90.00°, β = 90.00° and γ = 90.00°. The inequivalent atoms are Rb at (0.000, 0.000, 0.000), Al at (0.000, 0.000, 0.500) and Ga at (0.500, 0.500, 0.500).

=====

B.
Material: RbAl3Ga
Method: DFT, PBE
State: relaxed

The value obtained for the calculated density is 2.74 g/cm3. Its magnetization is 0.000 μB/atom.

It has space group Pm-3m (No. 221), with a = 5.233 Å, b = 5.233 Å, c = 5.233 Å, α = 90.00°, β = 90.00° and γ = 90.00°. The inequivalent atoms are Rb at (0.000, 0.000, 0.000), Al at (0.000, 0.500, 0.500) and Ga at (0.500, 0.500, 0.500).

=====

Stability check: which of them is least stable? A.

=====

A.
Material: RbAlGa3
Method: DFT, PBE
State: relaxed

The value obtained for the calculated density is 3.81 g/cm3. Its magnetization is 0.000 μB/atom.

It has space group Pm-3m (No. 221), with a = 5.195 Å, b = 5.195 Å, c = 5.195 Å, α = 90.00°, β = 90.00° and γ = 90.00°. The inequivalent atoms are Rb at (0.000, 0.000, 0.000), Al at (0.500, 0.500, 0.500) and Ga at (0.000, 0.500, 0.500).

=====

B.
Material: RbAlGa3
Method: DFT, PBE
State: relaxed

The value obtained for the calculated density is 2.58 g/cm3. Its magnetization is 0.000 μB/atom.

It has space group Pm-3m (No. 221), with a = 5.918 Å, b = 5.918 Å, c = 5.918 Å, α = 90.00°, β = 90.00° and γ = 90.00°. The inequivalent atoms are Rb at (0.000, 0.000, 0.000), Al at (0.500, 0.500, 0.500) and Ga at (0.000, 0.000, 0.500).

=====

Stability check: which of them is least stable? B.

=====

A.
Material: Al3GaRe
Method: DFT, PBE
State: relaxed

The value obtained for the calculated density is 6.44 g/cm3. Its magnetization is 0.000 μB/atom.

It has space group P2_1/m (No. 11), with a = 5.564 Å, b = 4.797 Å, c = 6.544 Å, α = 90.00°, β = 95.97° and γ = 90.00°. The inequivalent atoms are Al at (0.000, 0.000, 0.000), Al at (0.039, 0.250, 0.607), Al at (0.427, 0.250, 0.938), Ga at (0.473, 0.750, 0.421) and Re at (0.252, 0.750, 0.743).

=====

B.
Material: Al3GaRe
Method: DFT, PBE
State: relaxed

The value obtained for the calculated density is 4.95 g/cm3. Its magnetization is 0.000 μB/atom.

It has space group Pm-3m (No. 221), with a = 4.836 Å, b = 4.836 Å, c = 4.836 Å, α = 90.00°, β = 90.00° and γ = 90.00°. The inequivalent atoms are Al at (0.000, 0.000, 0.500), Ga at (0.500, 0.500, 0.500) and Re at (0.000, 0.000, 0.000).

=====

C.
Material: Al3GaRe
Method: DFT, PBE
State: relaxed

The value obtained for the calculated density is 5.73 g/cm3. Its magnetization is 0.304 μB/atom.

It has space group Pm-3m (No. 221), with a = 4.604 Å, b = 4.604 Å, c = 4.604 Å, α = 90.00°, β = 90.00° and γ = 90.00°. The inequivalent atoms are Al at (0.000, 0.000, 0.500), Ga at (0.000, 0.000, 0.000) and Re at (0.500, 0.500, 0.500).

=====

Stability check: which of them is least stable? C.

=====

A.
Material: Al6Ga12Re
Method: DFT, PBE
State: relaxed

The value obtained for the calculated density is 5.71 g/cm3. Its magnetization is 0.000 μB/atom.

It has space group R-3 (No. 148, hexagonal axes), with a = 9.2783 Å, b = 9.2783 Å, c = 13.8715 Å, α = 90.00°, β = 90.00° and γ = 120.00°. The inequivalent atoms are Al at (0.0073, 0.5234, 0.3194), Ga at (0.0544, 0.5460, 0.0960), Ga at (0.0577, 0.1823, 0.8306) and Re at (0.0000, 0.0000, 0.0000).

=====

B.
Material: Al6Ga12Re
Method: DFT, PBE
State: relaxed

The value obtained for the calculated density is 5.80 g/cm3. Its magnetization is 0.000 μB/atom.

It has space group R-3 (No. 148, hexagonal axes), with a = 10.7644 Å, b = 10.7644 Å, c = 10.1332 Å, α = 90.00°, β = 90.00° and γ = 120.00°. The inequivalent atoms are Al at (0.0638, 0.5996, 0.2186), Ga at (0.0457, 0.8592, 0.2792), Ga at (0.0818, 0.8618, 0.9171) and Re at (0.0000, 0.0000, 0.5000).

=====

Stability check: which of them is least stable? B.